Computed, not measured: a relaxed structure of Rb2Ni3F10 at the PBE+U level of DFT.

Computed properties:
Its symmetry is C2/m, No. 12. For the calculated volume, the calculation gives 425.2 Å³ per cell. The final energy is -120.26 eV/cell.

```
Rb2Ni3F10
1.0
9.4441 -3.0857 0.0000
9.4441 3.0857 0.0000
-3.0617 0.0000 7.2960
Rb Ni F
4 6 20
direct
0.1116 0.1116 0.2252
0.2127 0.2127 0.8129
0.7873 0.7873 0.1871
0.8884 0.8884 0.7748
0.2476 0.7524 0.5000
0.3214 0.3214 0.4879
0.4240 0.4240 0.0357
0.5760 0.5760 0.9643
0.6786 0.6786 0.5121
0.7524 0.2476 0.5000
0.0000 0.5000 0.5000
0.0213 0.0213 0.6750
0.1388 0.5872 0.0375
0.1593 0.6175 0.4803
0.2678 0.2678 0.2409
0.3046 0.6954 0.0000
0.3636 0.3636 0.7501
0.3825 0.8407 0.5197
0.4128 0.8612 0.9625
0.4773 0.4773 0.3099
0.5000 0.0000 0.5000
0.5227 0.5227 0.6901
0.5872 0.1388 0.0375
0.6175 0.1593 0.4803
0.6364 0.6364 0.2499
0.6954 0.3046 0.0000
0.7322 0.7322 0.7591
0.8407 0.3825 0.5197
0.8612 0.4128 0.9625
0.9787 0.9787 0.3250
```